DFT (PBE-GGA) results for crystalline Pr2AgAu at its relaxed geometry.

ΔE_f = -0.534 eV/atom
E = -4.4445 eV/atom
Calculated volume = 27.270 Å³/atom

abc: 5.943 4.878 7.526
angles: 90.00 90.12 90.00
Space group P2_1/m (No. 11)
One atom of each set of equivalent atoms:
Pr (0.135, 0.250, 0.189)
Pr (0.357, 0.250, 0.675)
Ag (0.366, 0.750, 0.963)
Au (0.151, 0.750, 0.457)

***

DFT (PBE-GGA) results for crystalline Pr2Si2AgAu at its relaxed geometry.

E = -5.0807 eV/atom
Calculated volume = 22.902 Å³/atom

abc: 4.4003 4.4003 8.1949
angles: 90.00 90.00 120.00
Space group P-6m2 (No. 187)
One atom of each set of equivalent atoms:
Pr (0.0000, 0.0000, 0.2492)
Si (0.3333, 0.6667, 0.5000)
Si (0.6667, 0.3333, 0.0000)
Ag (0.6667, 0.3333, 0.5000)
Au (0.3333, 0.6667, 0.0000)

***

Which formula does entry 2 have? Pr2Si2AgAu